Below is a relaxed structure of CuNi4, with properties calculated at the PBE-GGA level.

Geometry as CIF:
```
data_CuNi4
_cell_length_a 5.213
_cell_length_b 5.213
_cell_length_c 5.213
_cell_angle_alpha 90.00
_cell_angle_beta 90.00
_cell_angle_gamma 90.00
_space_group_name_H-M_alt 'I m -3 m'
_space_group_IT_number 229
_space_group_name_Hall '-I 4 2 3'
loop_
_atom_site_label
_atom_site_type_symbol
_atom_site_fract_x
_atom_site_fract_y
_atom_site_fract_z
Cu1 Cu 0.000 0.000 0.000
Ni1 Ni 0.250 0.250 0.250
```

Calculated values
volume = 14.16 Å³/atom
distance to the lowest polymorph of the same formula = 823.3 meV/atom
energy relative to the elements = 0.848 eV per atom

***

Below is a relaxed structure of CuNi3, with properties calculated at the PBE-GGA level.

Geometry as CIF:
```
data_CuNi3
_cell_length_a 5.016
_cell_length_b 7.089
_cell_length_c 2.492
_cell_angle_alpha 90.00
_cell_angle_beta 90.00
_cell_angle_gamma 90.00
_space_group_name_H-M_alt 'C m m m'
_space_group_IT_number 65
_space_group_name_Hall '-C 2 2'
loop_
_atom_site_label
_atom_site_type_symbol
_atom_site_fract_x
_atom_site_fract_y
_atom_site_fract_z
Cu1 Cu 0.000 0.000 0.000
Ni1 Ni 0.000 0.500 0.000
Ni2 Ni 0.250 0.250 0.500
```

Calculated values
volume = 11.08 Å³/atom
energy relative to the elements = 0.030 eV per atom

***

Below is a relaxed structure of Cu2Ni, with properties calculated at the PBE-GGA level.

Geometry as CIF:
```
data_Cu2Ni
_cell_length_a 5.546
_cell_length_b 5.546
_cell_length_c 5.546
_cell_angle_alpha 90.00
_cell_angle_beta 90.00
_cell_angle_gamma 90.00
_space_group_name_H-M_alt 'P a -3'
_space_group_IT_number 205
_space_group_name_Hall '-P 2ac 2ab 3'
loop_
_atom_site_label
_atom_site_type_symbol
_atom_site_fract_x
_atom_site_fract_y
_atom_site_fract_z
Cu1 Cu 0.128 0.128 0.128
Ni1 Ni 0.000 0.000 0.500
```

Calculated values
volume = 14.22 Å³/atom
energy relative to the elements = 0.716 eV per atom

***

Below is a relaxed structure of Cu2Ni, with properties calculated at the PBE-GGA level.

Geometry as CIF:
```
data_Cu2Ni
_cell_length_a 7.593
_cell_length_b 4.378
_cell_length_c 4.158
_cell_angle_alpha 90.00
_cell_angle_beta 90.00
_cell_angle_gamma 90.00
_space_group_name_H-M_alt 'C m c m'
_space_group_IT_number 63
_space_group_name_Hall '-C 2c 2'
loop_
_atom_site_label
_atom_site_type_symbol
_atom_site_fract_x
_atom_site_fract_y
_atom_site_fract_z
Cu1 Cu 0.165 0.167 0.250
Ni1 Ni 0.000 0.339 0.750
```

Calculated values
volume = 11.52 Å³/atom
energy relative to the elements = 0.025 eV per atom

***

Below is a relaxed structure of Cu6Ni5, with properties calculated at the PBE-GGA level.

Geometry as CIF:
```
data_Cu6Ni5
_cell_length_a 12.917
_cell_length_b 3.558
_cell_length_c 5.633
_cell_angle_alpha 90.00
_cell_angle_beta 105.15
_cell_angle_gamma 90.00
_space_group_name_H-M_alt 'C 1 2/m 1'
_space_group_IT_number 12
_space_group_name_Hall '-C 2y'
loop_
_atom_site_label
_atom_site_type_symbol
_atom_site_fract_x
_atom_site_fract_y
_atom_site_fract_z
Cu1 Cu 0.046 0.000 0.231
Cu2 Cu 0.091 0.500 0.953
Cu3 Cu 0.182 0.500 0.411
Ni1 Ni 0.000 0.500 0.500
Ni2 Ni 0.137 0.000 0.686
Ni3 Ni 0.228 0.000 0.132
```

Calculated values
volume = 11.36 Å³/atom
distance to the lowest polymorph of the same formula = 0.0 meV/atom
energy relative to the elements = 0.023 eV per atom

***

Below is a relaxed structure of Cu5Ni3, with properties calculated at the PBE-GGA level.

Geometry as CIF:
```
data_Cu5Ni3
_cell_length_a 7.161
_cell_length_b 7.198
_cell_length_c 3.550
_cell_angle_alpha 90.00
_cell_angle_beta 90.00
_cell_angle_gamma 90.00
_space_group_name_H-M_alt 'C m m m'
_space_group_IT_number 65
_space_group_name_Hall '-C 2 2'
loop_
_atom_site_label
_atom_site_type_symbol
_atom_site_fract_x
_atom_site_fract_y
_atom_site_fract_z
Cu1 Cu 0.000 0.000 0.000
Cu2 Cu 0.000 0.250 0.500
Cu3 Cu 0.250 0.250 0.000
Ni1 Ni 0.000 0.500 0.000
Ni2 Ni 0.247 0.500 0.500
```

Calculated values
volume = 11.44 Å³/atom
distance to the lowest polymorph of the same formula = 0.0 meV/atom
energy relative to the elements = 0.025 eV per atom

***

| no. | total magnetization (μB/f.u.) |
| --- | --- |
| 1 | 2.71 |
| 2 | 1.38 |
| 3 | 0.00 |
| 4 | 0.00 |
| 5 | 0.70 |
| 6 | 0.69 |